Below is MgNiCl2 after structural relaxation, with properties calculated at the GGA-PBEsol level.

## Properties
As for the formation energy without anion corrections: -0.72 eV/atom. The value obtained for the total energy is -3.69 eV per atom. The relative energy among the computed polymorphs is 0.000 eV/f.u.

```
data_MgNiCl2
_space_group_name_H-M_alt 'P 1 m 1'
_space_group_IT_number 6
_cell_length_a 3.455
_cell_length_b 3.602
_cell_length_c 6.094
_cell_angle_alpha 90.00
_cell_angle_beta 100.91
_cell_angle_gamma 90.00
loop_
_space_group_symop_operation_xyz
'x,y,z'
'x,-y,z'
loop_
_atom_site_label
_atom_site_fract_x
_atom_site_fract_y
_atom_site_fract_z
_atom_site_occupancy
Mg1 0.000 0.000 0.000 1
Ni1 0.544 0.500 0.135 1
Cl1 0.315 0.500 0.783 1
Cl2 0.670 0.000 0.354 1
```

---

Below is MgNiCl2 after structural relaxation, with properties calculated at the GGA-PBEsol level.

## Properties
As for the formation energy without anion corrections: -0.34 eV/atom. The value obtained for the total energy is -3.31 eV per atom. The relative energy among the computed polymorphs is 1.519 eV/f.u.

```
data_MgNiCl2
_space_group_name_H-M_alt 'F m -3 m'
_space_group_IT_number 225
_space_group_name_Hall '-F 4 2 3'
_cell_length_a 6.249
_cell_length_b 6.249
_cell_length_c 6.249
_cell_angle_alpha 90.00
_cell_angle_beta 90.00
_cell_angle_gamma 90.00
loop_
_atom_site_label
_atom_site_fract_x
_atom_site_fract_y
_atom_site_fract_z
_atom_site_occupancy
Mg1 0.000 0.000 0.000 1
Ni1 0.000 0.000 0.500 1
Cl1 0.250 0.250 0.250 1
```